No. 1
The following is a DFT calculation (PBE-GGA) of a relaxed AcGe3Pt crystal.

Geometry as POSCAR:
```
AcGe3Pt
1.0
6.331 0.000 0.000
-2.960 5.597 0.000
-0.435 -0.744 6.305
Ac Ge Pt
2 6 2
direct
0.171 0.330 0.250 Ac
0.829 0.670 0.750 Ac
0.115 0.802 0.234 Ge
0.301 0.614 0.733 Ge
0.310 0.189 0.750 Ge
0.690 0.811 0.250 Ge
0.699 0.386 0.267 Ge
0.885 0.198 0.766 Ge
0.500 0.000 0.000 Pt
0.500 0.000 0.500 Pt
```

No. 2
The following is a DFT calculation (PBE-GGA) of a relaxed Ac2Ge2Pt crystal.

Geometry as POSCAR:
```
Ac2Ge2Pt
1.0
5.798 -2.267 0.000
5.798 2.267 0.000
-5.309 0.000 10.280
Ac Ge Pt
4 4 2
direct
0.098 0.098 0.393 Ac
0.291 0.291 0.857 Ac
0.709 0.709 0.143 Ac
0.902 0.902 0.607 Ac
0.045 0.045 0.918 Ge
0.386 0.386 0.387 Ge
0.614 0.614 0.613 Ge
0.955 0.955 0.082 Ge
0.446 0.446 0.190 Pt
0.554 0.554 0.810 Pt
```

No. 3
The following is a DFT calculation (PBE-GGA) of a relaxed AcGe4Pt12 crystal.

Geometry as POSCAR:
```
AcGe4Pt12
1.0
-4.319 4.319 4.319
4.319 -4.319 4.319
4.319 4.319 -4.319
Ac Ge Pt
1 4 12
direct
0.000 0.000 0.000 Ac
0.000 0.000 0.500 Ge
0.000 0.500 0.000 Ge
0.500 0.000 0.000 Ge
0.500 0.500 0.500 Ge
0.158 0.347 0.505 Pt
0.158 0.653 0.811 Pt
0.189 0.842 0.347 Pt
0.347 0.189 0.842 Pt
0.347 0.505 0.158 Pt
0.495 0.842 0.653 Pt
0.505 0.158 0.347 Pt
0.653 0.495 0.842 Pt
0.653 0.811 0.158 Pt
0.811 0.158 0.653 Pt
0.842 0.347 0.189 Pt
0.842 0.653 0.495 Pt
```

No. 4
The following is a DFT calculation (PBE-GGA) of a relaxed Ac7Ge2Pt2 crystal.

Geometry as POSCAR:
```
Ac7Ge2Pt2
1.0
-2.213 8.234 5.105
2.213 -8.234 5.105
2.213 8.234 -5.105
Ac Ge Pt
7 2 2
direct
0.000 0.000 0.000 Ac
0.093 0.403 0.690 Ac
0.156 0.779 0.378 Ac
0.401 0.779 0.622 Ac
0.508 0.620 0.888 Ac
0.713 0.403 0.310 Ac
0.732 0.620 0.112 Ac
0.349 0.111 0.238 Ge
0.872 0.111 0.762 Ge
0.354 0.354 0.000 Pt
0.787 0.287 0.500 Pt
```

No. 5
The following is a DFT calculation (PBE-GGA) of a relaxed Ac6GePt3 crystal.

Geometry as POSCAR:
```
Ac6GePt3
1.0
12.844 0.000 0.000
0.000 4.480 0.000
-4.836 0.000 12.162
Ac Ge Pt
12 2 6
direct
0.044 0.250 0.392 Ac
0.104 0.750 0.946 Ac
0.245 0.250 0.767 Ac
0.247 0.750 0.286 Ac
0.408 0.250 0.575 Ac
0.439 0.250 0.108 Ac
0.561 0.750 0.892 Ac
0.592 0.750 0.425 Ac
0.753 0.250 0.714 Ac
0.755 0.750 0.233 Ac
0.896 0.250 0.054 Ac
0.956 0.750 0.608 Ac
0.201 0.750 0.558 Ge
0.799 0.250 0.442 Ge
0.014 0.250 0.787 Pt
0.339 0.750 0.940 Pt
0.414 0.250 0.342 Pt
0.586 0.750 0.658 Pt
0.661 0.250 0.060 Pt
0.986 0.750 0.213 Pt
```

No. 6
The following is a DFT calculation (PBE-GGA) of a relaxed Ac2Ge2Pt5 crystal.

Geometry as POSCAR:
```
Ac2Ge2Pt5
1.0
4.577 0.000 0.000
0.000 4.577 0.000
0.000 0.000 8.923
Ac Ge Pt
2 2 5
direct
0.000 0.000 0.000 Ac
0.000 0.000 0.500 Ac
0.500 0.500 0.152 Ge
0.500 0.500 0.848 Ge
0.000 0.500 0.267 Pt
0.000 0.500 0.733 Pt
0.500 0.000 0.267 Pt
0.500 0.000 0.733 Pt
0.500 0.500 0.500 Pt
```

No. 7
The following is a DFT calculation (PBE-GGA) of a relaxed AcGe2Pt4 crystal.

Geometry as POSCAR:
```
AcGe2Pt4
1.0
2.237 -6.768 0.000
2.237 6.768 0.000
0.000 0.000 4.490
Ac Ge Pt
1 2 4
direct
0.000 0.000 0.000 Ac
0.400 0.600 0.500 Ge
0.600 0.400 0.500 Ge
0.180 0.820 0.500 Pt
0.320 0.680 0.000 Pt
0.680 0.320 0.000 Pt
0.820 0.180 0.500 Pt
```

No. 8
The following is a DFT calculation (PBE-GGA) of a relaxed Ac7Ge2Pt2 crystal.

Geometry as POSCAR:
```
Ac7Ge2Pt2
1.0
4.601 -5.783 0.000
4.601 5.783 0.000
0.000 0.000 7.551
Ac Ge Pt
7 2 2
direct
0.000 0.000 0.000 Ac
0.000 0.500 0.265 Ac
0.000 0.500 0.735 Ac
0.500 0.000 0.265 Ac
0.500 0.000 0.735 Ac
0.500 0.500 0.239 Ac
0.500 0.500 0.761 Ac
0.217 0.217 0.500 Ge
0.783 0.783 0.500 Ge
0.272 0.728 0.000 Pt
0.728 0.272 0.000 Pt
```

No. 9
The following is a DFT calculation (PBE-GGA) of a relaxed Ac2PuGe4Pt3 crystal.

Geometry as POSCAR:
```
Ac2PuGe4Pt3
1.0
4.445 0.000 0.000
0.000 4.445 0.000
0.000 0.000 11.378
Ac Pu Ge Pt
2 1 4 3
direct
0.000 0.500 0.232 Ac
0.500 0.000 0.768 Ac
0.000 0.000 0.500 Pu
0.000 0.000 0.000 Ge
0.000 0.500 0.663 Ge
0.500 0.000 0.337 Ge
0.500 0.500 0.000 Ge
0.000 0.500 0.886 Pt
0.500 0.000 0.114 Pt
0.500 0.500 0.500 Pt
```

No. 10
The following is a DFT calculation (PBE-GGA) of a relaxed Ac2Ge3Pt4Rh crystal.

Geometry as POSCAR:
```
Ac2Ge3Pt4Rh
1.0
4.413 0.000 0.000
0.000 4.413 0.000
0.000 0.000 10.580
Ac Ge Pt Rh
2 3 4 1
direct
0.000 0.500 0.243 Ac
0.500 0.000 0.757 Ac
0.000 0.000 0.000 Ge
0.000 0.500 0.623 Ge
0.500 0.000 0.377 Ge
0.000 0.000 0.500 Pt
0.000 0.500 0.858 Pt
0.500 0.000 0.142 Pt
0.500 0.500 0.500 Pt
0.500 0.500 0.000 Rh
```

No. 11
The following is a DFT calculation (PBE-GGA) of a relaxed Ac2GePtRh6 crystal.

Geometry as POSCAR:
```
Ac2GePtRh6
1.0
5.367 0.000 0.000
2.673 6.071 0.000
2.676 0.192 6.260
Ac Ge Pt Rh
2 1 1 6
direct
0.030 0.229 0.210 Ac
0.970 0.771 0.790 Ac
0.500 0.000 0.500 Ge
0.500 0.500 0.000 Pt
0.009 0.237 0.742 Rh
0.325 0.427 0.429 Rh
0.488 0.766 0.256 Rh
0.512 0.234 0.744 Rh
0.675 0.573 0.571 Rh
0.991 0.763 0.258 Rh
```

No. 12
The following is a DFT calculation (PBE-GGA) of a relaxed Ac2GePt6Rh crystal.

Geometry as POSCAR:
```
Ac2GePt6Rh
1.0
6.079 -2.740 0.000
6.079 2.740 0.000
-5.868 0.000 6.488
Ac Ge Pt Rh
2 1 6 1
direct
0.234 0.234 0.193 Ac
0.766 0.766 0.807 Ac
0.000 0.000 0.500 Ge
0.245 0.742 0.735 Pt
0.249 0.249 0.604 Pt
0.258 0.755 0.265 Pt
0.742 0.245 0.735 Pt
0.751 0.751 0.396 Pt
0.755 0.258 0.265 Pt
0.500 0.500 0.000 Rh
```

Number 1: M_tot 0.00 Bohr magnetons per cell, total DFT energy (no corrections) -5.282 eV/atom. Number 2: M_tot 0.00 Bohr magnetons per cell, total DFT energy (no corrections) -5.619 eV/atom. Number 3: M_tot 0.00 Bohr magnetons per cell, total DFT energy (no corrections) -5.823 eV/atom. Number 4: M_tot 0.00 Bohr magnetons per cell, total DFT energy (no corrections) -5.237 eV/atom. Number 5: M_tot 0.00 Bohr magnetons per cell, total DFT energy (no corrections) -5.602 eV/atom. Number 6: M_tot 0.00 Bohr magnetons per cell, total DFT energy (no corrections) -6.168 eV/atom. Number 7: M_tot 0.00 Bohr magnetons per cell, total DFT energy (no corrections) -6.015 eV/atom. Number 8: M_tot 0.00 Bohr magnetons per cell, total DFT energy (no corrections) -5.053 eV/atom. Number 9: M_tot 5.33 Bohr magnetons per cell, total DFT energy (no corrections) -6.713 eV/atom. Number 10: M_tot 0.00 Bohr magnetons per cell, total DFT energy (no corrections) -6.181 eV/atom. Number 11: M_tot 0.00 Bohr magnetons per cell, total DFT energy (no corrections) -6.759 eV/atom. Number 12: M_tot 0.00 Bohr magnetons per cell, total DFT energy (no corrections) -6.417 eV/atom.